# 1
A plane-wave DFT calculation with PBE-GGA was carried out for a relaxed Ce5Hg2Ir crystal.

Cell and atoms, written as CIF:
```
data_Ce5Hg2Ir
_chemical_formula_sum 'Ce10 Hg4 Ir2'
_cell_length_a 7.4831
_cell_length_b 12.0568
_cell_length_c 4.9065
_cell_angle_alpha 90.00
_cell_angle_beta 90.00
_cell_angle_gamma 90.00
_space_group_name_H-M_alt 'P 1'
_space_group_IT_number 1
_space_group_name_Hall 'P 1'
loop_
_atom_site_label
_atom_site_fract_x
_atom_site_fract_y
_atom_site_fract_z
Ce1 0.0000 0.0000 0.0000
Ce2 0.1287 0.2907 0.0000
Ce3 0.1998 0.5625 0.5000
Ce4 0.3002 0.0625 0.5000
Ce5 0.3713 0.7907 0.0000
Ce6 0.5000 0.5000 0.0000
Ce7 0.6287 0.2093 0.0000
Ce8 0.6998 0.9375 0.5000
Ce9 0.8002 0.4375 0.5000
Ce10 0.8713 0.7093 0.0000
Hg1 0.0952 0.8234 0.5000
Hg2 0.4048 0.3234 0.5000
Hg3 0.5952 0.6766 0.5000
Hg4 0.9048 0.1766 0.5000
Ir1 0.0000 0.5000 0.0000
Ir2 0.5000 0.0000 0.0000
```

Values from the calculation:
Symmetry: Pbam, No. 55
Energy, eV per atom: -5.2223
Energy of formation from the pure elements, eV per atom: -0.331



# 2
A plane-wave DFT calculation with PBE-GGA was carried out for a relaxed Ce4HgIr crystal.

Cell and atoms, written as CIF:
```
data_Ce4HgIr
_chemical_formula_sum 'Ce16 Hg4 Ir4'
_cell_length_a 9.7316
_cell_length_b 9.7316
_cell_length_c 9.7316
_cell_angle_alpha 60.00
_cell_angle_beta 60.00
_cell_angle_gamma 60.00
_space_group_name_H-M_alt 'P 1'
_space_group_IT_number 1
_space_group_name_Hall 'P 1'
loop_
_atom_site_label
_atom_site_fract_x
_atom_site_fract_y
_atom_site_fract_z
Ce1 0.1877 0.1877 0.8123
Ce2 0.1877 0.8123 0.1877
Ce3 0.1877 0.8123 0.8123
Ce4 0.3997 0.3997 0.3997
Ce5 0.3997 0.3997 0.8009
Ce6 0.3997 0.8009 0.3997
Ce7 0.5547 0.5547 0.9453
Ce8 0.5547 0.9453 0.5547
Ce9 0.5547 0.9453 0.9453
Ce10 0.8009 0.3997 0.3997
Ce11 0.8123 0.1877 0.1877
Ce12 0.8123 0.1877 0.8123
Ce13 0.8123 0.8123 0.1877
Ce14 0.9453 0.5547 0.5547
Ce15 0.9453 0.5547 0.9453
Ce16 0.9453 0.9453 0.5547
Hg1 0.1681 0.1681 0.1681
Hg2 0.1681 0.1681 0.4958
Hg3 0.1681 0.4958 0.1681
Hg4 0.4958 0.1681 0.1681
Ir1 0.1714 0.6095 0.6095
Ir2 0.6095 0.1714 0.6095
Ir3 0.6095 0.6095 0.1714
Ir4 0.6095 0.6095 0.6095
```

Values from the calculation:
Symmetry: F-43m, No. 216
Energy, eV per atom: -5.8460
Energy of formation from the pure elements, eV per atom: -0.363



# 3
A plane-wave DFT calculation with PBE-GGA was carried out for a relaxed Ce3HgIr2 crystal.

Cell and atoms, written as CIF:
```
data_Ce3HgIr2
_chemical_formula_sum 'Ce6 Hg2 Ir4'
_cell_length_a 5.1281
_cell_length_b 14.3964
_cell_length_c 3.8061
_cell_angle_alpha 90.00
_cell_angle_beta 90.00
_cell_angle_gamma 90.00
_space_group_name_H-M_alt 'P 1'
_space_group_IT_number 1
_space_group_name_Hall 'P 1'
loop_
_atom_site_label
_atom_site_fract_x
_atom_site_fract_y
_atom_site_fract_z
Ce1 0.2500 0.0503 0.1313
Ce2 0.2500 0.4497 0.1313
Ce3 0.2500 0.7500 0.9681
Ce4 0.7500 0.2500 0.0319
Ce5 0.7500 0.5503 0.8687
Ce6 0.7500 0.9497 0.8687
Hg1 0.2500 0.2500 0.5628
Hg2 0.7500 0.7500 0.4372
Ir1 0.2500 0.6080 0.5151
Ir2 0.2500 0.8920 0.5151
Ir3 0.7500 0.1080 0.4849
Ir4 0.7500 0.3920 0.4849
```

Values from the calculation:
Symmetry: Pmmn, No. 59
Energy, eV per atom: -6.5413
Energy of formation from the pure elements, eV per atom: -0.570